No. 1
PBE Tm2VOs, relaxed; calculated total energy = -26.9 eV/cell; formation energy from the elements = 0.59 eV/atom; crystal system = trigonal
1.0
-0.0511 -2.7137 -1.6776
-0.7731 -2.7455 1.4303
-9.8449 -0.2750 -2.2899
Tm Os V
2 1 1
direct
0.0959 0.0959 0.7122 Tm
0.9041 0.9041 0.2878 Tm
0.5000 0.5000 0.5000 Os
0.0000 0.0000 0.0000 V

=====

No. 2
PBE TmV2Os, relaxed; calculated total energy = -33.5 eV/cell; formation energy from the elements = 0.11 eV/atom; crystal system = cubic
1.0
4.4749 0.0000 0.0000
2.2375 3.8754 0.0000
2.2375 1.2918 3.6541
Tm Os V
1 1 2
direct
0.5000 0.5000 0.5000 Tm
0.0000 0.0000 0.0000 Os
0.2500 0.2500 0.2499 V
0.7500 0.7500 0.7501 V